w | Crystalline HRh3Pb at its relaxed geometry, computed with PBE.

a = 4.0642 Å, b = 4.0642 Å, c = 4.0642 Å
α = 90.00°, β = 90.00°, γ = 90.00°
Positions (direct):
Rh (0.0000, 0.5000, 0.0000)
Rh (0.5000, 0.0000, 0.0000)
Rh (0.0000, 0.0000, 0.5000)
H (0.0000, 0.0000, 0.0000)
Pb (0.5000, 0.5000, 0.5000)

Output
Its space group is Pm-3m, No. 221. For the volume, the calculation gives 67.1 Å³/cell. The density of states at the Fermi level is 2.5 states/eV per cell.

=====

x | Crystalline HRh3Pb at its relaxed geometry, computed with PBE.

a = 3.1584 Å, b = 3.1584 Å, c = 16.7706 Å
α = 90.00°, β = 90.00°, γ = 120.00°
Positions (direct):
Rh (0.3333, 0.6667, 0.6279)
Rh (0.6667, 0.3333, 0.1279)
Rh (0.6667, 0.3333, 0.3721)
Rh (0.3333, 0.6667, 0.8721)
Rh (0.0000, 0.0000, 0.7500)
Rh (0.0000, 0.0000, 0.2500)
H (0.6667, 0.3333, 0.2500)
H (0.3333, 0.6667, 0.7500)
Pb (0.0000, 0.0000, 0.0000)
Pb (0.0000, 0.0000, 0.5000)

Output
Its space group is P6_3/mmc, No. 194. For the volume, the calculation gives 144.9 Å³/cell. The density of states at the Fermi level is 11.6 states/eV per cell.

=====

y | Crystalline HRh3Pb at its relaxed geometry, computed with PBE.

a = 17.5353 Å, b = 5.1810 Å, c = 7.4614 Å
α = 90.00°, β = 155.84°, γ = 90.00°
Positions (direct):
H (0.5760, 0.1248, 0.8644)
H (0.0761, 0.3752, 0.3644)
H (0.9240, 0.6248, 0.6356)
H (0.4240, 0.8752, 0.1356)
Rh (0.1577, 0.6263, 0.2792)
Rh (0.2653, 0.6186, 0.8656)
Rh (0.9847, 0.2658, 0.3868)
Rh (0.4847, 0.2342, 0.8868)
Rh (0.6577, 0.8737, 0.7792)
Rh (0.2347, 0.1186, 0.6344)
Rh (0.0153, 0.7342, 0.6132)
Rh (0.7347, 0.3814, 0.1344)
Rh (0.7653, 0.8814, 0.3656)
Rh (0.8423, 0.3737, 0.7208)
Rh (0.3423, 0.1263, 0.2208)
Rh (0.5153, 0.7658, 0.1132)
Pb (0.4048, 0.6580, 0.5149)
Pb (0.0952, 0.1580, 0.9851)
Pb (0.9048, 0.8420, 0.0149)
Pb (0.5952, 0.3420, 0.4851)

Output
Its space group is P2_1/c, No. 14. For the volume, the calculation gives 277.4 Å³/cell. The density of states at the Fermi level is 23.5 states/eV per cell.

=====

Energetically preferred structure: w | next structure: +0.160 eV/atom

=====

w | Crystalline HRh3Pb at its relaxed geometry, computed with PBE.

a = 5.7926 Å, b = 5.7784 Å, c = 5.7776 Å
α = 60.00°, β = 119.93°, γ = 90.00°
Positions (direct):
Rh (0.7643, 0.0957, 0.3202)
Rh (0.2508, 0.6095, 0.3210)
Rh (0.7643, 0.6100, 0.3202)
Rh (0.2508, 0.0954, 0.3210)
Rh (0.2509, 0.6094, 0.8070)
Rh (0.7642, 0.0958, 0.8343)
H (0.6777, 0.2963, 0.4336)
H (0.3388, 0.4087, 0.2085)
Pb (0.2643, 0.1003, 0.8253)
Pb (0.7507, 0.6050, 0.8160)

Output
Its space group is R-3m, No. 166. For the volume, the calculation gives 136.9 Å³/cell. The density of states at the Fermi level is 7.3 states/eV per cell.

=====

x | Crystalline HRh3Pb at its relaxed geometry, computed with PBE.

a = 3.8364 Å, b = 3.8364 Å, c = 6.4268 Å
α = 90.00°, β = 90.00°, γ = 90.00°
Positions (direct):
Pb (0.0000, 0.0000, 0.1412)
Rh (0.5000, 0.0000, 0.4655)
Rh (0.0000, 0.5000, 0.4655)
Rh (0.0000, 0.0000, 0.7315)
H (0.5000, 0.5000, 0.4601)

Output
Its space group is P4mm, No. 99. For the volume, the calculation gives 94.6 Å³/cell. The density of states at the Fermi level is 4.8 states/eV per cell.

=====

y | Crystalline HRh3Pb at its relaxed geometry, computed with PBE.

a = 23.7680 Å, b = 4.9219 Å, c = 8.1131 Å
α = 90.00°, β = 162.71°, γ = 90.00°
Positions (direct):
H (0.5585, 0.7928, 0.7643)
H (0.0585, 0.7072, 0.2643)
H (0.9415, 0.2928, 0.7357)
H (0.4415, 0.2072, 0.2357)
Rh (0.0690, 0.9243, 0.0466)
Rh (0.4310, 0.4243, 0.4534)
Rh (0.9570, 0.3847, 0.5582)
Rh (0.8104, 0.5951, 0.4777)
Rh (0.5430, 0.8847, 0.9418)
Rh (0.6896, 0.0951, 0.0223)
Rh (0.9310, 0.0757, 0.9534)
Rh (0.5690, 0.5757, 0.5466)
Rh (0.4570, 0.1153, 0.0582)
Rh (0.1896, 0.4049, 0.5223)
Rh (0.3104, 0.9049, 0.9777)
Rh (0.0430, 0.6153, 0.4418)
Pb (0.6860, 0.3777, 0.4464)
Pb (0.1860, 0.1223, 0.9464)
Pb (0.3140, 0.6223, 0.5536)
Pb (0.8140, 0.8777, 0.0536)

Output
Its space group is P2_1/c, No. 14. For the volume, the calculation gives 282.1 Å³/cell. The density of states at the Fermi level is 20.5 states/eV per cell.

=====

Energetically preferred structure: w | next structure: +0.087 eV/atom

=====

w | Crystalline HRh3Pb at its relaxed geometry, computed with PBE.

a = 4.5738 Å, b = 4.5738 Å, c = 10.6859 Å
α = 77.64°, β = 77.64°, γ = 90.00°
Positions (direct):
Rh (0.6536, 0.6536, 0.6928)
Rh (0.1230, 0.3682, 0.7539)
Rh (0.6318, 0.8770, 0.2461)
Rh (0.1222, 0.8770, 0.2461)
Rh (0.1230, 0.8778, 0.7539)
Rh (0.3464, 0.3464, 0.3072)
H (0.6448, 0.1448, 0.7103)
H (0.8552, 0.3552, 0.2897)
Pb (0.2500, 0.7500, 0.5000)
Pb (0.0000, 0.0000, 0.0000)

Output
Its space group is I-4m2, No. 119. For the volume, the calculation gives 213.1 Å³/cell. The density of states at the Fermi level is 8.4 states/eV per cell.

=====

x | Crystalline HRh3Pb at its relaxed geometry, computed with PBE.

a = 5.2914 Å, b = 5.2914 Å, c = 6.4465 Å
α = 65.77°, β = 65.77°, γ = 90.00°
Positions (direct):
Rh (0.1377, 0.3832, 0.7245)
Rh (0.3677, 0.3677, 0.2646)
Rh (0.6168, 0.8623, 0.2755)
Rh (0.6323, 0.6323, 0.7354)
Rh (0.1377, 0.8922, 0.7245)
Rh (0.1078, 0.8623, 0.2755)
Pb (0.5931, 0.0931, 0.8138)
Pb (0.9069, 0.4069, 0.1862)
H (0.2500, 0.7500, 0.5000)
H (0.0000, 0.0000, 0.0000)

Output
Its space group is I-4m2, No. 119. For the volume, the calculation gives 147.0 Å³/cell. The density of states at the Fermi level is 17.9 states/eV per cell.

=====

y | Crystalline HRh3Pb at its relaxed geometry, computed with PBE.

a = 4.1753 Å, b = 5.5726 Å, c = 6.9879 Å
α = 90.00°, β = 106.04°, γ = 90.00°
Positions (direct):
Pb (0.5913, 0.2500, 0.6555)
Pb (0.4087, 0.7500, 0.3445)
H (0.0668, 0.7500, 0.7118)
H (0.9332, 0.2500, 0.2882)
Rh (0.1941, 0.0122, 0.8804)
Rh (0.8059, 0.9878, 0.1196)
Rh (0.8059, 0.5122, 0.1196)
Rh (0.3664, 0.2500, 0.2428)
Rh (0.1941, 0.4878, 0.8804)
Rh (0.6336, 0.7500, 0.7572)

Output
Its space group is P2_1/m, No. 11. For the volume, the calculation gives 156.3 Å³/cell. The density of states at the Fermi level is 8.1 states/eV per cell.

=====

Energetically preferred structure: y | next structure: +0.121 eV/atom

=====

w | Crystalline HRh3Pb at its relaxed geometry, computed with PBE.

a = 7.4975 Å, b = 7.4975 Å, c = 7.4975 Å
α = 60.00°, β = 60.00°, γ = 60.00°
Positions (direct):
Rh (0.1837, 0.8163, 0.8163)
Rh (0.8163, 0.1837, 0.8163)
Rh (0.0663, 0.4337, 0.4337)
Rh (0.4337, 0.4337, 0.0663)
Rh (0.8163, 0.8163, 0.1837)
Rh (0.0663, 0.4337, 0.0663)
Rh (0.1837, 0.1837, 0.8163)
Rh (0.4337, 0.0663, 0.0663)
Rh (0.0663, 0.0663, 0.4337)
Rh (0.1837, 0.8163, 0.1837)
Rh (0.8163, 0.1837, 0.1837)
Rh (0.4337, 0.0663, 0.4337)
Pb (0.6250, 0.6250, 0.6250)
Pb (0.6250, 0.6250, 0.1250)
Pb (0.1250, 0.6250, 0.6250)
Pb (0.6250, 0.1250, 0.6250)
H (0.1250, 0.6250, 0.1250)
H (0.6250, 0.1250, 0.1250)
H (0.1250, 0.1250, 0.1250)
H (0.1250, 0.1250, 0.6250)

Output
Its space group is Fd-3m, No. 227. For the volume, the calculation gives 298.0 Å³/cell. The density of states at the Fermi level is 11.6 states/eV per cell.

=====

x | Crystalline HRh3Pb at its relaxed geometry, computed with PBE.

a = 5.3309 Å, b = 5.3309 Å, c = 5.3309 Å
α = 79.86°, β = 79.86°, γ = 79.86°
Site moments in Bohr magnetons follow the coordinates.
Positions (direct):
Rh (0.2500, 0.9931, 0.5069)  0.05
Rh (0.5069, 0.2500, 0.9931)  0.08
Rh (0.7500, 0.0069, 0.4931)  0.05
Rh (0.9931, 0.5069, 0.2500)  0.07
Rh (0.0069, 0.4931, 0.7500)  0.07
Rh (0.4931, 0.7500, 0.0069)  0.08
H (0.7500, 0.7500, 0.7500)  0.00
H (0.2500, 0.2500, 0.2500)  0.00
Pb (0.0000, 0.0000, 0.0000)  0.00
Pb (0.5000, 0.5000, 0.5000)  0.00

Output
Its space group is R-3c, No. 167. For the volume, the calculation gives 145.1 Å³/cell. The density of states at the Fermi level is 14.3 states/eV per cell.

=====

Energetically preferred structure: w | next structure: +0.239 eV/atom

=====

w | Crystalline HRh3Pb at its relaxed geometry, computed with PBE.

a = 18.9807 Å, b = 9.0585 Å, c = 9.0585 Å
α = 154.57°, β = 162.69°, γ = 17.31°
Positions (direct):
Pb (0.3259, 0.0981, 0.9019)
Pb (0.6741, 0.9019, 0.0981)
Rh (0.0524, 0.6452, 0.3548)
Rh (0.1851, 0.8799, 0.1201)
Rh (0.4412, 0.3677, 0.6323)
Rh (0.8149, 0.1201, 0.8799)
Rh (0.5588, 0.6323, 0.3677)
Rh (0.9476, 0.3548, 0.6452)
H (0.0767, 0.0967, 0.9033)
H (0.9233, 0.9033, 0.0967)

Output
Its space group is Imma, No. 74. For the volume, the calculation gives 137.2 Å³/cell. The density of states at the Fermi level is 8.3 states/eV per cell.

=====

x | Crystalline HRh3Pb at its relaxed geometry, computed with PBE.

a = 5.2408 Å, b = 7.2657 Å, c = 7.7497 Å
α = 90.00°, β = 90.00°, γ = 90.00°
Positions (direct):
Rh (0.0514, 0.9270, 0.8407)
Rh (0.4486, 0.4270, 0.3407)
Rh (0.7121, 0.7500, 0.3023)
Rh (0.7879, 0.2500, 0.8023)
Rh (0.4486, 0.0730, 0.3407)
Rh (0.0514, 0.5730, 0.8407)
Rh (0.9486, 0.0730, 0.1593)
Rh (0.9486, 0.4270, 0.1593)
Rh (0.2121, 0.7500, 0.1977)
Rh (0.2879, 0.2500, 0.6977)
Rh (0.5514, 0.9270, 0.6593)
Rh (0.5514, 0.5730, 0.6593)
Pb (0.5000, 0.0000, 0.0000)
Pb (0.5000, 0.5000, 0.0000)
Pb (0.0000, 0.5000, 0.5000)
Pb (0.0000, 0.0000, 0.5000)
H (0.0010, 0.7500, 0.0241)
H (0.5010, 0.7500, 0.4759)
H (0.9990, 0.2500, 0.9759)
H (0.4990, 0.2500, 0.5241)

Output
Its space group is Pnma, No. 62. For the volume, the calculation gives 295.1 Å³/cell. The density of states at the Fermi level is 24.7 states/eV per cell.

=====

Energetically preferred structure: w | next structure: +0.153 eV/atom

=====

w | Crystalline H2RhPb at its relaxed geometry, computed with PBE.

a = 5.1867 Å, b = 5.1867 Å, c = 5.8420 Å
α = 124.29°, β = 124.29°, γ = 84.88°
Positions (direct):
H (0.2185, 0.7184, 0.7293)
H (0.1061, 0.3310, 0.7049)
H (0.3310, 0.1061, 0.2049)
H (0.7184, 0.2185, 0.2293)
Rh (0.1401, 0.2966, 0.4155)
Rh (0.2966, 0.1401, 0.9155)
Pb (0.6082, 0.8287, 0.5640)
Pb (0.8287, 0.6082, 0.0640)

Output
Its space group is Ima2, No. 46. For the volume, the calculation gives 101.1 Å³/cell. The density of states at the Fermi level is 1.4 states/eV per cell.

=====

x | Crystalline H2RhPb at its relaxed geometry, computed with PBE.

a = 4.8481 Å, b = 5.4834 Å, c = 8.5729 Å
α = 89.80°, β = 90.00°, γ = 90.00°
Positions (direct):
Rh (0.9989, 0.2499, 0.5003)
Rh (0.0011, 0.7501, 0.4997)
Rh (0.5011, 0.7499, 0.0003)
Rh (0.4989, 0.2501, 0.9997)
H (0.1246, 0.0011, 0.3918)
H (0.3754, 0.5011, 0.8918)
H (0.2735, 0.9993, 0.0010)
H (0.6246, 0.4989, 0.1082)
H (0.8754, 0.9989, 0.6082)
H (0.7265, 0.0007, 0.9990)
H (0.7735, 0.5007, 0.4990)
H (0.2265, 0.4993, 0.5010)
Pb (0.4156, 0.0007, 0.7030)
Pb (0.9156, 0.4993, 0.7970)
Pb (0.5844, 0.9993, 0.2970)
Pb (0.0844, 0.5007, 0.2030)

Output
Its space group is P2_1/c, No. 14. For the volume, the calculation gives 227.9 Å³/cell. The density of states at the Fermi level is 5.2 states/eV per cell.

=====

Energetically preferred structure: x | next structure: +0.006 eV/atom